First-principles (GGA+U) data for Li2CrSO after structural relaxation, as listed in the Alexandria database.

Calculated values
* density of states at the Fermi level: 0.01 states/eV/atom
* ρ: 3.0 Mg/m³
* uncorrected energy: -27.44 eV/f.u.

a = 3.887 Å, b = 4.113 Å, c = 3.887 Å
α = 90.00°, β = 90.00°, γ = 90.00°
Last column: magnetic moment on the atom in μB.
Element x y z (fractional)
O: 0.000 0.000 0.000  0.01
Cr: 0.000 0.500 0.000  3.75
S: 0.500 0.500 0.500  0.00
Li: 0.000 0.000 0.500  0.00
Li: 0.500 0.000 0.000  0.01